[1]
First-principles (PBE-GGA) data for Tb2YCd3 after structural relaxation, as listed in Alexandria via LeMat-Bulk. Values from VASP.

Summary:
ΔH_f (0 K)   -0.331 eV/atom

The structure in Quantum ESPRESSO input format:
```
&SYSTEM
  ibrav = 0, nat = 6, ntyp = 3
/
ATOMIC_SPECIES
Tb 158.93 Tb.upf
Cd 112.41 Cd.upf
Y 88.91 Y.upf
ATOMIC_POSITIONS angstrom
Tb -2.1663 -0.5306 9.5013
Tb 0.7691 -1.6760 2.6791
Cd -1.4689 0.5732 3.4139
Cd 0.0000 0.0000 0.0000
Cd -2.9324 1.1442 6.8152
Y -0.6986 -1.1033 6.0902
CELL_PARAMETERS angstrom
-0.4280 -3.7067 0.4382
3.4319 -0.2173 1.5131
-4.4013 1.7174 10.2291
```

[2]
First-principles (PBE-GGA) data for Sm2GaNi4As3 after structural relaxation, as listed in Alexandria via LeMat-Bulk. Values from VASP.

Summary:
ΔH_f (0 K)   -0.811 eV/atom

The structure in Quantum ESPRESSO input format:
```
&SYSTEM
  ibrav = 0, nat = 10, ntyp = 4
/
ATOMIC_SPECIES
Ni 58.69 Ni.upf
Ga 69.72 Ga.upf
Sm 150.36 Sm.upf
As 74.92 As.upf
ATOMIC_POSITIONS angstrom
Ni 2.0391 2.0391 0.0000
Ni 0.0000 2.0391 3.6559
Ni 0.0000 0.0000 0.0000
Ni 2.0391 0.0000 6.2258
Ga 2.0391 2.0391 4.9409
Sm 0.0000 2.0391 7.4652
Sm 2.0391 0.0000 2.4166
As 2.0391 0.0000 8.5770
As 0.0000 0.0000 4.9409
As 0.0000 2.0391 1.3048
CELL_PARAMETERS angstrom
4.0781 0.0000 0.0000
0.0000 4.0781 0.0000
0.0000 0.0000 9.8818
```

[3]
First-principles (PBE-GGA) data for Y2HoHf3N6 after structural relaxation, as listed in Alexandria via LeMat-Bulk. Values from VASP.

Summary:
E_form (uncorrected)   -1.79 eV/atom

The structure in Quantum ESPRESSO input format:
```
&SYSTEM
  ibrav = 0, nat = 12, ntyp = 4
/
ATOMIC_SPECIES
N 14.01 N.upf
Hf 178.49 Hf.upf
Y 88.91 Y.upf
Ho 164.93 Ho.upf
ATOMIC_POSITIONS angstrom
N -2.7388 -2.8198 -2.9340
N -2.5881 -3.5570 5.6594
N -1.6909 -0.5819 2.3292
N -1.6795 -3.8763 2.6924
N -3.6360 -5.7949 0.3962
N -3.6473 -2.5005 0.0331
Hf -3.1957 -1.0132 -1.6218
Hf -3.1814 -4.2981 -1.2690
Hf -2.1454 -2.0787 3.9945
Y -1.3282 -2.4152 0.7689
Y -3.9987 -3.9616 1.9565
Ho -1.3420 0.8705 0.4161
CELL_PARAMETERS angstrom
-2.6840 1.7410 0.8322
-3.7075 -3.7674 -4.0758
1.0646 -4.3504 5.9690
```

[4]
First-principles (PBE-GGA) data for Pa2RhS after structural relaxation, as listed in Alexandria via LeMat-Bulk. Values from VASP.

Summary:
E_form (uncorrected)   -0.55 eV/atom

The structure in Quantum ESPRESSO input format:
```
&SYSTEM
  ibrav = 0, nat = 4, ntyp = 3
/
ATOMIC_SPECIES
Pa 231.04 Pa.upf
Rh 102.91 Rh.upf
S 32.06 S.upf
ATOMIC_POSITIONS angstrom
Pa 5.5825 -3.7858 0.8381
Pa 1.2372 -5.8345 -1.9570
Rh 0.0000 0.0000 0.0000
S 3.4098 -4.8102 -0.5595
CELL_PARAMETERS angstrom
-1.1424 -3.1197 0.1095
0.1062 -1.9053 -2.7218
7.8559 -4.5953 1.4934
```